Te2MoAsN after structural relaxation, computed with PBE.

```
data_Te2MoAsN
_chemical_formula_sum 'Te2 Mo1 As1 N1'
_cell_length_a 5.425
_cell_length_b 5.425
_cell_length_c 3.793
_cell_angle_alpha 90.00
_cell_angle_beta 90.00
_cell_angle_gamma 90.00
_space_group_name_H-M_alt 'P 1'
_space_group_IT_number 1
loop_
_space_group_symop_operation_xyz
'x,y,z'
loop_
_atom_site_label
_atom_site_type_symbol
_atom_site_fract_x
_atom_site_fract_y
_atom_site_fract_z
_atom_site_occupancy
Mo1 Mo 0.000 0.000 0.000 1
Te1 Te 0.000 0.500 0.000 1
Te2 Te 0.500 0.000 0.000 1
N1 N 0.000 0.000 0.500 1
As1 As 0.500 0.500 0.500 1
```

space-group type = P4/mmm
energy relative to the elements, uncorrected = 0.39 eV/atom
E_tot = -28.1 eV for the cell shown
magnetization = 0.000 μB/atom

***

AcNiBiRh after structural relaxation, computed with PBE.

```
data_AcNiBiRh
_chemical_formula_sum 'Ac1 Ni1 Bi1 Rh1'
_cell_length_a 5.018
_cell_length_b 5.018
_cell_length_c 5.018
_cell_angle_alpha 60.00
_cell_angle_beta 60.00
_cell_angle_gamma 60.00
_space_group_name_H-M_alt 'P 1'
_space_group_IT_number 1
loop_
_space_group_symop_operation_xyz
'x,y,z'
loop_
_atom_site_label
_atom_site_type_symbol
_atom_site_fract_x
_atom_site_fract_y
_atom_site_fract_z
_atom_site_occupancy
Rh1 Rh 0.750 0.750 0.750 1
Bi1 Bi 0.500 0.500 0.500 1
Ni1 Ni 0.250 0.250 0.250 1
Ac1 Ac 0.000 0.000 0.000 1
```

space-group type = F-43m
E_tot = -22.0 eV for the cell shown
ΔE_f = -83 kJ/mol of formula units
magnetization = 0.000 μB/atom

***

InHICl2 after structural relaxation, computed with PBE.

```
data_InHICl2
_chemical_formula_sum 'In1 H1 I1 Cl2'
_cell_length_a 4.356
_cell_length_b 6.370
_cell_length_c 4.356
_cell_angle_alpha 90.00
_cell_angle_beta 90.00
_cell_angle_gamma 90.00
_space_group_name_H-M_alt 'P 1'
_space_group_IT_number 1
loop_
_space_group_symop_operation_xyz
'x,y,z'
loop_
_atom_site_label
_atom_site_type_symbol
_atom_site_fract_x
_atom_site_fract_y
_atom_site_fract_z
_atom_site_occupancy
H1 H 0.000 0.000 0.000 1
In1 In 0.000 0.500 0.000 1
Cl1 Cl 0.500 0.000 0.000 1
Cl2 Cl 0.000 0.000 0.500 1
I1 I 0.500 0.500 0.500 1
```

space-group type = P4/mmm
E_tot = -10.6 eV for the cell shown
magnetization = 0.000 μB/atom

***

B2C after structural relaxation, computed with PBE.

```
data_B2C
_chemical_formula_sum 'B8 C4'
_cell_length_a 4.488
_cell_length_b 3.911
_cell_length_c 5.318
_cell_angle_alpha 76.03
_cell_angle_beta 75.50
_cell_angle_gamma 82.66
_space_group_name_H-M_alt 'P 1'
_space_group_IT_number 1
loop_
_space_group_symop_operation_xyz
'x,y,z'
loop_
_atom_site_label
_atom_site_type_symbol
_atom_site_fract_x
_atom_site_fract_y
_atom_site_fract_z
_atom_site_occupancy
C1 C 0.746 0.652 0.231 1
C2 C 0.955 0.176 0.900 1
C3 C 0.045 0.824 0.100 1
C4 C 0.254 0.348 0.769 1
B1 B 0.889 0.037 0.652 1
B2 B 0.252 0.746 0.616 1
B3 B 0.351 0.639 0.935 1
B4 B 0.111 0.963 0.348 1
B5 B 0.507 0.960 0.326 1
B6 B 0.649 0.361 0.065 1
B7 B 0.748 0.254 0.384 1
B8 B 0.493 0.040 0.674 1
```

space-group type = P-1
E_tot = -85.8 eV for the cell shown
ΔE_f = 108 kJ/mol of formula units
magnetization = 0.000 μB/atom